Sn3SbRu: relaxed, PBE.

Properties
ΔE_f (raw) in meV/atom: 1482
Energy relative to the lowest polymorph listed for this composition in eV/atom: 1.364

a = 5.609 Å, b = 5.609 Å, c = 5.609 Å
α = 90.00°, β = 90.00°, γ = 90.00°
Element x y z (fractional)
Sb  0.000  0.000  0.000
Sn  0.000  0.500  0.000
Sn  0.000  0.000  0.500
Sn  0.500  0.000  0.000
Ru  0.500  0.500  0.500